## MnGaPbO4 (PBE+U)

Data for MnGaPbO4 after structural relaxation.

Size of the total moment, μB per atom: 0.5711
ρ, Mg/m³: 6.30
VASP energy, eV per atom: -6.19

a b c (Å): 5.5956 5.7538 6.6548
angles (deg): 90.00 102.93 90.00
Last column: nearest neighbours and their distance in Å.
Positions (direct):
Mn: 0.1963 0.2500 0.0512  2 O 1.96-2.00
Mn: 0.8037 0.7500 0.9488  2 O 1.96-2.00
Ga: 0.2865 0.7500 0.8486  4 O 1.86-1.88
Ga: 0.7135 0.2500 0.1514  4 O 1.86-1.88
Pb: 0.2348 0.2500 0.5768  4 O 2.31-2.56
Pb: 0.7652 0.7500 0.4232  4 O 2.31-2.56
O: 0.0504 0.5138 0.8126  1 Ga 1.87
O: 0.0504 0.9862 0.8126  1 Ga 1.87
O: 0.4683 0.2500 0.9107  1 Ga 1.86, 1 Mn 1.96
O: 0.4693 0.2500 0.3039  1 Ga 1.88, 1 Mn 2.00
O: 0.5307 0.7500 0.6961  1 Ga 1.88, 1 Mn 2.00
O: 0.5317 0.7500 0.0893  1 Ga 1.86, 1 Mn 1.96
O: 0.9496 0.0138 0.1874  1 Ga 1.87
O: 0.9496 0.4862 0.1874  1 Ga 1.87